[1]
VASP calculation (PBE) on an optimized crystal structure of Pa2NbIn.

For the final energy, the calculation gives -31.63 eV for the cell shown. Its formation enthalpy at 0 K is 0.043 eV per atom. Its crystal system is tetragonal. Its distance to the lowest polymorph of the same formula is 0 meV per atom.

The space group is P4/mmm (No. 123) and the conventional cell measures 4.359, 4.359 and 4.808 Å, with angles of 90.00, 90.00 and 90.00 degrees. The asymmetric unit holds Pa at (0.000, 0.500, 0.000), Nb at (0.000, 0.000, 0.500) and In at (0.500, 0.500, 0.500).


[2]
VASP calculation (PBE) on an optimized crystal structure of SbI3N.

For the final energy, the calculation gives -30.37 eV for the cell shown. Its crystal system is triclinic. Its distance to the lowest polymorph of the same formula is 0 meV per atom.

The space group is P-1 (No. 2) and the conventional cell measures 6.382, 7.733 and 10.985 Å, with angles of 73.69, 83.96 and 68.80 degrees. The asymmetric unit holds Sb at (0.238, 0.081, 0.161), I at (0.144, 0.238, 0.372), I at (0.341, 0.863, 0.907), I at (0.375, 0.389, 0.698) and N at (0.316, 0.811, 0.282).


[3]
VASP calculation (PBE) on an optimized crystal structure of TiSe2Br.

For the final energy, the calculation gives -72.70 eV for the cell shown. Its crystal system is tetragonal. Its distance to the lowest polymorph of the same formula is 311 meV per atom.

The space group is I-42d (No. 122) and the conventional cell measures 6.734, 6.734 and 10.936 Å, with angles of 90.00, 90.00 and 90.00 degrees. The asymmetric unit holds Ti at (0.000, 0.000, 0.000), Se at (0.157, 0.250, 0.125) and Br at (0.000, 0.000, 0.500).


[4]
VASP calculation (PBE) on an optimized crystal structure of Ge2SbCl.

For the final energy, the calculation gives -57.92 eV for the cell shown. Its crystal system is tetragonal. Its distance to the lowest polymorph of the same formula is 113 meV per atom.

The space group is I-42d (No. 122) and the conventional cell measures 6.948, 6.948 and 11.067 Å, with angles of 90.00, 90.00 and 90.00 degrees. The asymmetric unit holds Ge at (0.246, 0.250, 0.125), Sb at (0.000, 0.000, 0.000) and Cl at (0.000, 0.000, 0.500).


[5]
VASP calculation (PBE) on an optimized crystal structure of Ca2ScBi2.

For the final energy, the calculation gives -39.53 eV for the cell shown. Its formation enthalpy at 0 K is -0.334 eV per atom. Its crystal system is tetragonal. Its distance to the lowest polymorph of the same formula is 315 meV per atom.

The space group is P4/mbm (No. 127) and the conventional cell measures 8.955, 8.955 and 3.836 Å, with angles of 90.00, 90.00 and 90.00 degrees. The asymmetric unit holds Ca at (0.128, 0.372, 0.000), Sc at (0.000, 0.000, 0.000) and Bi at (0.175, 0.675, 0.500).


[6]
VASP calculation (PBE) on an optimized crystal structure of PrSi2TcOs.

For the final energy, the calculation gives -80.81 eV for the cell shown. Its crystal system is tetragonal.

The space group is I-4m2 (No. 119) and the conventional cell measures 4.216, 4.216 and 10.063 Å, with angles of 90.00, 90.00 and 90.00 degrees. The asymmetric unit holds Pr at (0.000, 0.000, 0.000), Si at (0.000, 0.000, 0.369), Tc at (0.000, 0.500, 0.250) and Os at (0.000, 0.500, 0.750).


[7]
VASP calculation (PBE) on an optimized crystal structure of Tl2Pd2Cl7.

For the final energy, the calculation gives -69.39 eV for the cell shown. Its crystal system is monoclinic. Its distance to the lowest polymorph of the same formula is 0 meV per atom.

The space group is P2_1/c (No. 14) and the conventional cell measures 7.892, 10.885 and 7.880 Å, with angles of 90.00, 106.89 and 90.00 degrees. The asymmetric unit holds Tl at (0.009, 0.111, 0.250), Pd at (0.492, 0.148, 0.763), Cl at (0.184, 0.138, 0.673), Cl at (0.198, 0.650, 0.660), Cl at (0.486, 0.172, 0.465) and Cl at (0.500, 0.000, 0.000).


[8]
VASP calculation (PBE) on an optimized crystal structure of Ba2SrSBr.

For the final energy, the calculation gives -13.95 eV for the cell shown. Its crystal system is tetragonal.

The space group is P4/mmm (No. 123) and the conventional cell measures 6.213, 6.213 and 5.701 Å, with angles of 90.00, 90.00 and 90.00 degrees. The asymmetric unit holds Ba at (0.000, 0.500, 0.000), Sr at (0.000, 0.000, 0.500), S at (0.500, 0.500, 0.500) and Br at (0.000, 0.000, 0.000).